# PBE UTe6Au, optimized geometry
# Volume: 268.1 Å³/f.u.
# Uncorrected formation energy: -0.15 eV per atom
# Size of the total moment: 0.276 μB per atom
# Final energy: -34.6 eV/cell
# Density of states at the Fermi level: 7.84 states/eV per cell
# Density: 7.4 g/cm³
data_UTe6Au
_cell_length_a 5.783
_cell_length_b 7.010
_cell_length_c 7.115
_cell_angle_alpha 70.85
_cell_angle_beta 81.40
_cell_angle_gamma 81.92
_symmetry_space_group_name_H-M 'P -1'
_symmetry_Int_Tables_number 2
loop_
_symmetry_equiv_pos_as_xyz
'x,y,z'
'-x,-y,-z'
loop_
_atom_site_label
_atom_site_fract_x
_atom_site_fract_y
_atom_site_fract_z
U1 0.000 0.000 0.000
Te1 0.087 0.277 0.552
Te2 0.253 0.763 0.708
Te3 0.438 0.225 0.925
Au1 0.000 0.500 0.000

=====

# PBE NbSe4, optimized geometry
# Volume: 126.6 Å³/f.u.
# Uncorrected formation energy: 0.16 eV per atom
# Size of the total moment: 0.000 μB per atom
# Final energy: -23.2 eV/cell
# Density of states at the Fermi level: 5.90 states/eV per cell
# Density: 5.4 g/cm³
data_NbSe4
_cell_length_a 5.021
_cell_length_b 5.021
_cell_length_c 5.021
_cell_angle_alpha 90.00
_cell_angle_beta 90.00
_cell_angle_gamma 90.00
_symmetry_space_group_name_H-M 'P m -3 m'
_symmetry_Int_Tables_number 221
_symmetry_space_group_name_Hall '-P 4 2 3'
loop_
_atom_site_label
_atom_site_fract_x
_atom_site_fract_y
_atom_site_fract_z
Nb1 0.000 0.000 0.000
Se1 0.000 0.000 0.500
Se2 0.500 0.500 0.500

=====

# PBE InAg2Se2, optimized geometry
# Volume: 118.2 Å³/f.u.
# Uncorrected formation energy: -0.09 eV per atom
# Size of the total moment: 0.000 μB per atom
# Final energy: -31.7 eV/cell
# Density of states at the Fermi level: 5.78 states/eV per cell
# Density: 6.9 g/cm³
# Energy above the lowest structure with this stoichiometry: 0.000 eV/atom
data_InAg2Se2
_cell_length_a 4.064
_cell_length_b 4.064
_cell_length_c 14.313
_cell_angle_alpha 90.00
_cell_angle_beta 90.00
_cell_angle_gamma 90.00
_symmetry_space_group_name_H-M 'I 4/m m m'
_symmetry_Int_Tables_number 139
_symmetry_space_group_name_Hall '-I 4 2'
loop_
_atom_site_label
_atom_site_fract_x
_atom_site_fract_y
_atom_site_fract_z
In1 0.000 0.000 0.000
Ag1 0.000 0.500 0.250
Se1 0.000 0.000 0.380